[1]
RbPa4CdN8 | GGA-PBE | relaxed

Properties
E_tot (eV per atom): -8.54

a b c (Å): 7.2033 7.2033 16.5751
angles (deg): 90.00 90.00 120.00
Space group R3m (No. 160, hexagonal axes)
Inequivalent atoms, fractional coordinates:
Rb1 0.0000 0.0000 0.0000
Pa1 0.0000 0.0000 0.2374
Pa2 0.1722 0.3444 0.4519
Cd1 0.0000 0.0000 0.6197
N1 0.0000 0.0000 0.3710
N2 0.0000 0.0000 0.8446
N3 0.0587 0.5293 0.3881
N4 0.1680 0.3360 0.1924

---

[2]
Pa3Cd3TcN8 | GGA-PBE | relaxed

Properties
E_tot (eV per atom): -7.76

a b c (Å): 6.9159 6.9159 16.2537
angles (deg): 90.00 90.00 120.00
Space group R-3m (No. 166, hexagonal axes)
Inequivalent atoms, fractional coordinates:
Pa1 0.0000 0.5000 0.0000
Cd1 0.0000 0.5000 0.5000
Tc1 0.0000 0.0000 0.0000
N1 0.0000 0.0000 0.2622
N2 0.0133 0.5067 0.7338

---

[3]
Pa3CdTc4N12 | GGA-PBE | relaxed

Properties
E_tot (eV per atom): -8.71

a b c (Å): 11.4801 11.4801 8.6388
angles (deg): 90.00 90.00 120.00
Space group R32 (No. 155, hexagonal axes)
Inequivalent atoms, fractional coordinates:
Pa1 0.0000 0.5499 0.0000
Cd1 0.0000 0.0000 0.0000
Tc1 0.0000 0.0000 0.5000
Tc2 0.0000 0.4478 0.5000
N1 0.0000 0.6092 0.5000
N2 0.0000 0.8413 0.5000
N3 0.0389 0.2116 0.1732

---

[4]
Th3Pa4CdN12 | GGA-PBE | relaxed

Properties
E_tot (eV per atom): -9.23

a b c (Å): 8.6360 8.6360 8.6360
angles (deg): 90.00 90.00 90.00
Space group Im-3 (No. 204)
Inequivalent atoms, fractional coordinates:
Th1 0.0000 0.0000 0.5000
Pa1 0.2500 0.2500 0.2500
Cd1 0.0000 0.0000 0.0000
N1 0.0000 0.2031 0.3112

---

[5]
Pa2ZnCdN5 | GGA-PBE | relaxed

Properties
E_tot (eV per atom): -7.62

a b c (Å): 3.5757 16.2281 9.3206
angles (deg): 90.00 90.00 90.00
Space group Cmcm (No. 63)
Inequivalent atoms, fractional coordinates:
Pa1 0.0000 0.1519 0.0363
Zn1 0.0000 0.3104 0.2500
Cd1 0.0000 0.5002 0.2500
N1 0.0000 0.0861 0.2500
N2 0.0000 0.2619 0.6125
N3 0.0000 0.3970 0.0815

---

[6]
CdPbN3 | GGA-PBE | relaxed

Properties
E_tot (eV per atom): -3.83

a b c (Å): 4.3466 4.3466 4.3466
angles (deg): 90.00 90.00 90.00
Space group Pm-3m (No. 221)
Inequivalent atoms, fractional coordinates:
Cd1 0.0000 0.0000 0.0000
Pb1 0.5000 0.5000 0.5000
N1 0.0000 0.5000 0.5000

---

[7]
Cd3PbN | GGA-PBE | relaxed

Properties
E_tot (eV per atom): -1.36

a b c (Å): 5.6522 5.6522 5.6522
angles (deg): 90.00 90.00 90.00
Space group Pm-3m (No. 221)
Inequivalent atoms, fractional coordinates:
Cd1 0.0000 0.0000 0.5000
Pb1 0.0000 0.0000 0.0000
N1 0.5000 0.5000 0.5000

---

[8]
CdPb3N | GGA-PBE | relaxed

Properties
E_tot (eV per atom): -2.49

a b c (Å): 5.5757 5.5757 5.5757
angles (deg): 90.00 90.00 90.00
Space group Pm-3m (No. 221)
Inequivalent atoms, fractional coordinates:
Cd1 0.0000 0.0000 0.0000
Pb1 0.0000 0.0000 0.5000
N1 0.5000 0.5000 0.5000

---

[9]
CdPb2N2 | GGA-PBE | relaxed

Properties
E_tot (eV per atom): -4.51

a b c (Å): 10.8567 3.6696 12.7071
angles (deg): 90.00 90.00 90.00
Space group Pnma (No. 62)
Inequivalent atoms, fractional coordinates:
Cd1 0.2047 0.2500 0.1392
Pb1 0.0965 0.7500 0.3816
Pb2 0.1241 0.7500 0.8963
N1 0.1938 0.2500 0.3019
N2 0.2193 0.2500 0.9767

---

[10]
CdPb2N2 | GGA-PBE | relaxed

Properties
E_tot (eV per atom): -4.23

a b c (Å): 4.9062 4.9062 11.5223
angles (deg): 90.00 90.00 90.00
Space group I4/mmm (No. 139)
Inequivalent atoms, fractional coordinates:
Cd1 0.0000 0.0000 0.0000
Pb1 0.0000 0.5000 0.2500
N1 0.0000 0.0000 0.1815

---

[11]
CdPb2N | GGA-PBE | relaxed

Properties
E_tot (eV per atom): -3.17

a b c (Å): 7.1434 7.1434 7.1434
angles (deg): 90.00 90.00 90.00
Space group Fm-3m (No. 225)
Inequivalent atoms, fractional coordinates:
Cd1 0.0000 0.0000 0.0000
Pb1 0.2500 0.2500 0.2500
N1 0.0000 0.0000 0.5000

---

[12]
CdPb2N2 | GGA-PBE | relaxed

Properties
E_tot (eV per atom): -4.06

a b c (Å): 7.2815 7.2815 3.6511
angles (deg): 90.00 90.00 90.00
Space group P4/mbm (No. 127)
Inequivalent atoms, fractional coordinates:
Cd1 0.0000 0.0000 0.0000
Pb1 0.1517 0.3483 0.5000
N1 0.2048 0.7048 0.0000

---

no.,density (g/cm³),formation energy (no corrections) (meV/atom)
1,8.25,-932
2,9.18,-544
3,6.90,-176
4,9.80,-1180
5,8.72,-639
6,7.31,2088
7,5.14,1592
8,7.17,1582
9,7.28,490
10,6.64,770
11,9.85,990
12,9.52,940